UNbHg: optimized geometry, GGA-PBE.

Values from the calculation:
Symmetry: F-43m
Energy relative to the lowest polymorph listed for this composition: 288 meV per atom

POSCAR file:
```
UNbHg
1.0
6.708 0.000 0.000
0.000 6.708 0.000
0.000 0.000 6.708
U Nb Hg
4 4 4
Cartesian
0.000 0.000 0.000
0.000 3.354 3.354
3.354 0.000 3.354
3.354 3.354 0.000
1.677 1.677 5.031
1.677 5.031 1.677
5.031 1.677 1.677
5.031 5.031 5.031
1.677 1.677 1.677
1.677 5.031 5.031
5.031 1.677 5.031
5.031 5.031 1.677
```

---

YNbHg2: optimized geometry, GGA-PBE.

Values from the calculation:
Symmetry: F-43m

POSCAR file:
```
YNbHg2
1.0
7.140 0.000 0.000
0.000 7.140 0.000
0.000 0.000 7.140
Y Nb Hg
4 4 8
Cartesian
0.000 0.000 0.000
0.000 3.570 3.570
3.570 0.000 3.570
3.570 3.570 0.000
1.785 1.785 5.355
1.785 5.355 1.785
5.355 1.785 1.785
5.355 5.355 5.355
0.000 0.000 3.570
0.000 3.570 0.000
1.785 1.785 1.785
1.785 5.355 5.355
3.570 0.000 0.000
3.570 3.570 3.570
5.355 1.785 5.355
5.355 5.355 1.785
```

---

Y2NbHg: optimized geometry, GGA-PBE.

Values from the calculation:
Symmetry: F-43m

POSCAR file:
```
Y2NbHg
1.0
7.229 0.000 0.000
0.000 7.229 0.000
0.000 0.000 7.229
Y Nb Hg
8 4 4
Cartesian
0.000 0.000 0.000
0.000 3.614 3.614
1.807 1.807 1.807
1.807 5.422 5.422
3.614 0.000 3.614
3.614 3.614 0.000
5.422 1.807 5.422
5.422 5.422 1.807
0.000 0.000 3.614
0.000 3.614 0.000
3.614 0.000 0.000
3.614 3.614 3.614
1.807 1.807 5.422
1.807 5.422 1.807
5.422 1.807 1.807
5.422 5.422 5.422
```

---

NbZnHg2: optimized geometry, GGA-PBE.

Values from the calculation:
Symmetry: F-43m

POSCAR file:
```
NbZnHg2
1.0
6.766 0.000 0.000
0.000 6.766 0.000
0.000 0.000 6.766
Nb Zn Hg
4 4 8
Cartesian
0.000 0.000 0.000
0.000 3.383 3.383
3.383 0.000 3.383
3.383 3.383 0.000
1.691 1.691 5.074
1.691 5.074 1.691
5.074 1.691 1.691
5.074 5.074 5.074
0.000 0.000 3.383
0.000 3.383 0.000
1.691 1.691 1.691
1.691 5.074 5.074
3.383 0.000 0.000
3.383 3.383 3.383
5.074 1.691 5.074
5.074 5.074 1.691
```

---

NbZn2Hg: optimized geometry, GGA-PBE.

Values from the calculation:
Symmetry: F-43m

POSCAR file:
```
NbZn2Hg
1.0
6.538 0.000 0.000
0.000 6.538 0.000
0.000 0.000 6.538
Nb Zn Hg
4 8 4
Cartesian
0.000 0.000 0.000
0.000 3.269 3.269
3.269 0.000 3.269
3.269 3.269 0.000
0.000 0.000 3.269
0.000 3.269 0.000
1.635 1.635 4.904
1.635 4.904 1.635
3.269 0.000 0.000
3.269 3.269 3.269
4.904 1.635 1.635
4.904 4.904 4.904
1.635 1.635 1.635
1.635 4.904 4.904
4.904 1.635 4.904
4.904 4.904 1.635
```

---

Nb2ZnHg: optimized geometry, GGA-PBE.

Values from the calculation:
Symmetry: F-43m

POSCAR file:
```
Nb2ZnHg
1.0
6.650 0.000 0.000
0.000 6.650 0.000
0.000 0.000 6.650
Nb Zn Hg
8 4 4
Cartesian
0.000 0.000 0.000
0.000 3.325 3.325
1.662 1.662 1.662
1.662 4.987 4.987
3.325 0.000 3.325
3.325 3.325 0.000
4.987 1.662 4.987
4.987 4.987 1.662
0.000 0.000 3.325
0.000 3.325 0.000
3.325 0.000 0.000
3.325 3.325 3.325
1.662 1.662 4.987
1.662 4.987 1.662
4.987 1.662 1.662
4.987 4.987 4.987
```

---

Calculated total moment, 0.489 3.580 0.892 1.649 1.243 0.093 μB per formula unit (same order as the records).
Calculated E_tot, -5.974 -3.947 -5.564 -2.510 -2.871 -4.977 eV/atom (same order as the records).
Calculated density, 11.7 10.6 8.3 12.0 10.1 10.2 g cm⁻³ (same order as the records).